Below is crystalline CdCoO2 at its relaxed geometry, with properties calculated at the PBE with a Hubbard U level.

Lattice parameters (Å, degrees): 3.3827 3.3827 5.4256 90.00 90.00 120.00
Space group P3m1 (No. 156)
Symmetry-distinct sites (fractional):
Cd (0.0000, 0.0000, 0.0000) (multiplicity 1)
Co (0.3333, 0.6667, 0.4578) (multiplicity 1)
O (0.3333, 0.6667, 0.8106) (multiplicity 1)
O (0.6667, 0.3333, 0.3209) (multiplicity 1)

Its total energy is -4.90 eV/atom. The total moment comes out at 3.00 μB per formula unit.